Version A
DFT (PBE) results for a relaxed structure of Na13Cd2.

Geometry as POSCAR:
```
Na13Cd2
1.0
4.6465 2.6826 7.0883
-4.6465 2.6826 7.0883
0.0000 -5.3653 7.0883
Na Cd
13 2
Direct
0.0000 0.0000 0.0000
0.1330 0.1330 0.5164
0.1330 0.5164 0.1330
0.3028 0.3028 0.6930
0.3028 0.6930 0.3028
0.3070 0.6972 0.6972
0.4836 0.8670 0.8670
0.5164 0.1330 0.1330
0.6930 0.3028 0.3028
0.6972 0.3070 0.6972
0.6972 0.6972 0.3070
0.8670 0.4836 0.8670
0.8670 0.8670 0.4836
0.1440 0.1440 0.1440
0.8560 0.8560 0.8560
```

Total magnetic moment, μB per cell: 0.0

Version B
DFT (PBE) results for a relaxed structure of Na13Cd2.

Geometry as POSCAR:
```
Na13Cd2
1.0
7.1140 0.0000 0.0000
0.9471 8.6595 0.0000
1.9667 3.3616 8.0853
Na Cd
13 2
Direct
0.0000 0.0000 0.0000
0.1260 0.4787 0.7560
0.1906 0.2015 0.1907
0.2547 0.9383 0.5818
0.3246 0.6693 0.9873
0.3551 0.4146 0.3992
0.4826 0.1429 0.7866
0.5174 0.8571 0.2134
0.6449 0.5854 0.6008
0.6754 0.3307 0.0127
0.7453 0.0617 0.4182
0.8094 0.7985 0.8093
0.8740 0.5213 0.2440
0.0627 0.7613 0.3837
0.9373 0.2387 0.6163
```

Total magnetic moment, μB per cell: 0.0

Least stable structure: version A

Version A
DFT (PBE) results for a relaxed structure of Na5Cd4.

Geometry as POSCAR:
```
Na5Cd4
1.0
4.4748 -2.6654 0.0000
4.4748 2.6654 0.0000
-0.3857 0.0000 9.8296
Na Cd
5 4
Direct
0.0000 0.0000 0.0000
0.3329 0.3329 0.8786
0.3336 0.3336 0.5550
0.6664 0.6664 0.4450
0.6671 0.6671 0.1214
0.0013 0.0013 0.6692
0.3321 0.3321 0.2305
0.6679 0.6679 0.7695
0.9987 0.9987 0.3308
```

Total magnetic moment, μB per cell: 0.0

Version B
DFT (PBE) results for a relaxed structure of Na5Cd4.

Geometry as POSCAR:
```
Na5Cd4
1.0
4.9310 -2.5938 0.0000
4.9310 2.5938 0.0000
-2.9623 0.0000 10.1033
Na Cd
5 4
Direct
0.0000 0.0000 0.0000
0.1221 0.1221 0.4170
0.2850 0.2850 0.7721
0.7150 0.7150 0.2279
0.8779 0.8779 0.5830
0.3352 0.3352 0.0776
0.4225 0.4225 0.3638
0.5775 0.5775 0.6362
0.6648 0.6648 0.9224
```

Total magnetic moment, μB per cell: 0.0

Least stable structure: version B

Version A
DFT (PBE) results for a relaxed structure of Na7Cd3.

Geometry as POSCAR:
```
Na7Cd3
1.0
9.9480 0.0000 0.0000
-4.9740 8.6152 0.0000
0.0000 0.0000 7.3611
Na Cd
14 6
Direct
0.0582 0.5291 0.0000
0.1233 0.2466 0.2812
0.1233 0.8767 0.2812
0.2466 0.1233 0.7812
0.3333 0.6667 0.3347
0.4709 0.5291 0.0000
0.4709 0.9418 0.0000
0.5291 0.0582 0.5000
0.5291 0.4709 0.5000
0.6667 0.3333 0.8347
0.7534 0.8767 0.2812
0.8767 0.1233 0.7812
0.8767 0.7534 0.7812
0.9418 0.4709 0.5000
0.2231 0.4463 0.6858
0.2231 0.7769 0.6858
0.4463 0.2231 0.1858
0.5537 0.7769 0.6858
0.7769 0.2231 0.1858
0.7769 0.5537 0.1858
```

Total magnetic moment, μB per cell: 0.0

Version B
DFT (PBE) results for a relaxed structure of Na7Cd3.

Geometry as POSCAR:
```
Na7Cd3
1.0
8.6318 -2.5040 0.0000
8.6318 2.5040 0.0000
-0.8793 0.0000 6.7419
Na Cd
7 3
Direct
0.0000 0.0000 0.0000
0.1964 0.1964 0.5947
0.3937 0.3937 0.7248
0.4007 0.4007 0.2190
0.5993 0.5993 0.7810
0.6063 0.6063 0.2752
0.8036 0.8036 0.4053
0.0000 0.0000 0.5000
0.2121 0.2121 0.0793
0.7879 0.7879 0.9207
```

Total magnetic moment, μB per cell: 0.0

Least stable structure: version A

Version A
DFT (PBE) results for a relaxed structure of Na5Cd3.

Geometry as POSCAR:
```
Na5Cd3
1.0
0.0000 8.5641 8.6183
3.1972 0.0000 8.6183
3.1972 8.5641 0.0000
Na Cd
10 6
Direct
0.0000 0.0000 0.0000
0.2302 0.6117 0.3706
0.2500 0.2500 0.2500
0.3069 0.8832 0.4104
0.4625 0.8794 0.6383
0.6117 0.2302 0.7875
0.8396 0.8505 0.9431
0.8505 0.8396 0.3668
0.8794 0.4625 0.0198
0.8832 0.3069 0.3995
0.2412 0.3639 0.9006
0.3494 0.7557 0.0088
0.3639 0.2412 0.4943
0.4645 0.4645 0.5355
0.7145 0.7145 0.7855
0.7557 0.3494 0.8861
```

Total magnetic moment, μB per cell: 0.0

Version B
DFT (PBE) results for a relaxed structure of Na5Cd3.

Geometry as POSCAR:
```
Na5Cd3
1.0
4.7368 -4.7807 0.0000
4.7368 4.7807 0.0000
0.0000 0.0000 4.8763
Na Cd
5 3
Direct
0.0000 0.0000 0.0000
0.0000 0.5000 0.0000
0.2548 0.7452 0.5000
0.5000 0.0000 0.0000
0.7452 0.2548 0.5000
0.2657 0.2657 0.5000
0.5000 0.5000 0.0000
0.7343 0.7343 0.5000
```

Total magnetic moment, μB per cell: 0.0

Least stable structure: version A

Version A
DFT (PBE) results for a relaxed structure of NaNbCd.

Geometry as POSCAR:
```
NaNbCd
1.0
2.9654 0.0000 0.0000
0.8503 2.8410 0.0000
0.1304 0.0499 15.7142
Na Nb Cd
2 2 2
Direct
0.2390 0.2464 0.3998
0.7610 0.7536 0.6002
0.2471 0.2490 0.0688
0.7529 0.7510 0.9312
0.2605 0.2548 0.7757
0.7395 0.7452 0.2243
```

Total magnetic moment, μB per cell: 0.0

Version B
DFT (PBE) results for a relaxed structure of NaNbCd.

Geometry as POSCAR:
```
NaNbCd
1.0
8.7593 0.0000 0.0000
0.0000 2.7382 0.0000
0.0000 0.0000 10.9024
Na Nb Cd
4 4 4
Direct
0.1705 0.2500 0.0845
0.3295 0.7500 0.5845
0.6705 0.2500 0.4155
0.8295 0.7500 0.9155
0.0547 0.2500 0.3923
0.4453 0.7500 0.8923
0.5547 0.2500 0.1077
0.9453 0.7500 0.6077
0.1492 0.2500 0.8000
0.3508 0.7500 0.3000
0.6492 0.2500 0.7000
0.8508 0.7500 0.2000
```

Total magnetic moment, μB per cell: 0.0

Least stable structure: version B

Version A
DFT (PBE) results for a relaxed structure of Na3NbCd.

Geometry as POSCAR:
```
Na3NbCd
1.0
5.5921 0.0000 0.0000
0.0000 5.5921 0.0000
0.0000 0.0000 5.5921
Na Nb Cd
3 1 1
Direct
0.0000 0.0000 0.5000
0.0000 0.5000 0.0000
0.5000 0.0000 0.0000
0.5000 0.5000 0.5000
0.0000 0.0000 0.0000
```

Total magnetic moment, μB per cell: 4.3

Version B
DFT (PBE) results for a relaxed structure of Na3NbCd.

Geometry as POSCAR:
```
Na3NbCd
1.0
6.0018 0.0000 0.0000
0.0000 6.0018 0.0000
0.0000 0.0000 6.0018
Na Nb Cd
3 1 1
Direct
0.0000 0.0000 0.5000
0.0000 0.5000 0.0000
0.5000 0.0000 0.0000
0.0000 0.0000 0.0000
0.5000 0.5000 0.5000
```

Total magnetic moment, μB per cell: 5.3

Least stable structure: version B

Version A
DFT (PBE) results for a relaxed structure of NaNdCd.

Geometry as POSCAR:
```
NaNdCd
1.0
5.3924 0.0000 0.0000
-2.6962 4.6700 0.0000
0.0000 0.0000 3.3438
Na Nd Cd
1 1 1
Direct
0.0000 0.0000 0.0000
0.3333 0.6667 0.5030
0.6667 0.3333 0.0050
```

Total magnetic moment, μB per cell: 0.0

Version B
DFT (PBE) results for a relaxed structure of NaNdCd.

Geometry as POSCAR:
```
NaNdCd
1.0
-1.7544 1.7544 7.4492
1.7544 -1.7544 7.4492
1.7544 1.7544 -7.4492
Na Nd Cd
1 1 1
Direct
0.0000 0.0000 0.0000
0.7059 0.7059 0.0000
0.3493 0.3493 0.0000
```

Total magnetic moment, μB per cell: 0.0

Version C
DFT (PBE) results for a relaxed structure of NaNdCd.

Geometry as POSCAR:
```
NaNdCd
1.0
1.8570 -8.7218 0.0000
1.8570 8.7218 0.0000
0.0000 0.0000 5.5004
Na Nd Cd
2 2 2
Direct
0.2455 0.7545 0.7500
0.7545 0.2455 0.2500
0.0653 0.9347 0.2500
0.9347 0.0653 0.7500
0.4037 0.5963 0.2500
0.5963 0.4037 0.7500
```

Total magnetic moment, μB per cell: 0.4

Least stable structure: version B

Version A
DFT (PBE) results for a relaxed structure of NaNd2Cd6.

Geometry as POSCAR:
```
NaNd2Cd6
1.0
8.8350 0.0000 0.0000
-4.4175 7.6513 0.0000
0.0000 0.0000 3.4161
Na Nd Cd
1 2 6
Direct
0.0000 0.0000 0.0000
0.3333 0.6667 0.0000
0.6667 0.3333 0.0000
0.0000 0.3307 0.5000
0.0000 0.6693 0.5000
0.3307 0.0000 0.5000
0.3307 0.3307 0.5000
0.6693 0.0000 0.5000
0.6693 0.6693 0.5000
```

Total magnetic moment, μB per cell: 0.0

Version B
DFT (PBE) results for a relaxed structure of NaNd2Cd6.

Geometry as POSCAR:
```
NaNd2Cd6
1.0
6.4569 0.0000 0.0000
-3.2284 5.5918 0.0000
0.0000 0.0000 6.4657
Na Nd Cd
1 2 6
Direct
0.0000 0.0000 0.0000
0.3333 0.6667 0.1402
0.6667 0.3333 0.8598
0.1790 0.3579 0.6684
0.1790 0.8210 0.6684
0.3579 0.1790 0.3316
0.6421 0.8210 0.6684
0.8210 0.1790 0.3316
0.8210 0.6421 0.3316
```

Total magnetic moment, μB per cell: 0.0

Least stable structure: version B